Version a
A plane-wave DFT calculation with GGA-PBE was carried out for Be4Te after structural relaxation.

```
Be4Te
1.0
3.952 -2.724 0.319
-0.899 2.027 4.269
-3.737 -2.740 -1.293
Be Te
4 1
Direct
0.000 0.500 0.000 Be
0.000 0.000 0.500 Be
0.500 0.000 0.000 Be
0.500 0.500 0.500 Be
0.000 0.000 0.000 Te
```



Version b
A plane-wave DFT calculation with GGA-PBE was carried out for Be4Te after structural relaxation.

```
Be4Te
1.0
4.680 0.000 0.000
0.000 4.680 0.000
0.000 0.000 4.680
Te Be
1 4
Direct
0.500 0.500 0.500 Te
0.000 0.500 0.500 Be
0.500 0.500 0.000 Be
0.500 0.000 0.500 Be
0.000 0.000 0.000 Be
```



Version c
A plane-wave DFT calculation with GGA-PBE was carried out for Be4Te after structural relaxation.

```
Be4Te
1.0
2.131 -3.692 0.000
2.131 3.692 0.000
0.000 0.000 4.350
Be Te
4 1
Direct
0.333 0.667 0.646 Be
0.333 0.667 0.165 Be
0.667 0.333 0.835 Be
0.667 0.333 0.354 Be
0.000 0.000 0.000 Te
```



Version d
A plane-wave DFT calculation with GGA-PBE was carried out for Be4Te after structural relaxation.

```
Be4Te
1.0
4.308 0.189 1.556
-3.578 2.861 0.175
-1.599 -3.289 2.764
Be Te
4 1
Direct
0.431 0.161 0.592 Be
0.161 0.569 0.730 Be
0.839 0.431 0.270 Be
0.569 0.839 0.408 Be
0.000 0.000 0.000 Te
```



It is version d that is the most stable of them.



Version a
A plane-wave DFT calculation with GGA-PBE was carried out for TiBeTe3 after structural relaxation.

```
TiBeTe3
1.0
-1.331 4.808 -1.831
-4.132 -2.126 -2.578
-3.065 0.778 4.271
Te Ti Be
3 1 1
Direct
0.500 0.000 0.000 Te
0.000 0.500 0.000 Te
0.000 0.000 0.500 Te
0.000 0.000 0.000 Ti
0.500 0.500 0.500 Be
```



Version b
A plane-wave DFT calculation with GGA-PBE was carried out for TiBeTe3 after structural relaxation.

```
TiBeTe3
1.0
-4.235 -2.499 -0.496
1.788 -3.600 2.876
-1.815 2.285 3.989
Be Te Ti
1 3 1
Direct
0.000 0.000 0.000 Be
0.500 0.000 0.000 Te
0.000 0.500 0.000 Te
0.000 0.000 0.500 Te
0.500 0.500 0.500 Ti
```



It is version a that is the most stable of them.



Version a
A plane-wave DFT calculation with GGA-PBE was carried out for BeTlTe2 after structural relaxation.

```
BeTlTe2
1.0
-0.843 -3.295 0.616
1.126 0.320 3.252
-7.972 2.509 2.512
Te Tl Be
2 1 1
Direct
0.000 0.000 0.568 Te
0.000 0.000 0.932 Te
0.500 0.500 0.250 Tl
0.500 0.500 0.750 Be
```



Version b
A plane-wave DFT calculation with GGA-PBE was carried out for BeTlTe2 after structural relaxation.

```
BeTlTe2
1.0
-1.417 2.293 -2.581
-0.411 -3.948 -3.281
-6.405 -1.354 2.313
Tl Te Be
1 2 1
Direct
0.500 0.250 0.250 Tl
0.000 0.747 0.511 Te
0.000 0.753 0.989 Te
0.500 0.750 0.750 Be
```



Version c
A plane-wave DFT calculation with GGA-PBE was carried out for BeTlTe2 after structural relaxation.

```
BeTlTe2
1.0
-1.089 5.587 -3.806
-3.618 5.705 -1.121
2.450 6.277 2.032
Tl Be Te
1 1 2
Direct
0.528 0.528 0.350 Tl
0.332 0.332 0.043 Be
0.821 0.821 0.291 Te
0.820 0.820 0.817 Te
```



It is version b that is the most stable of them.



Version a
A plane-wave DFT calculation with GGA-PBE was carried out for BeTlTe2 after structural relaxation.

```
BeTlTe2
1.0
5.297 0.000 0.000
2.649 4.588 0.000
2.649 1.529 4.325
Be Te Tl
1 2 1
Direct
0.500 0.500 0.500 Be
0.000 0.000 0.000 Te
0.250 0.250 0.250 Te
0.750 0.750 0.750 Tl
```



Version b
A plane-wave DFT calculation with GGA-PBE was carried out for BeTlTe2 after structural relaxation.

```
BeTlTe2
1.0
-3.362 0.435 -1.187
-0.417 -3.566 -0.126
-3.048 0.052 8.657
Te Tl Be
2 1 1
Direct
0.500 0.500 0.221 Te
0.000 0.000 0.868 Te
0.000 0.000 0.457 Tl
0.500 0.500 0.954 Be
```



It is version b that is the most stable of them.